Computed, not measured: crystalline BaCoBr2 at its relaxed geometry at the PBE level of DFT.

The structure in POSCAR format:
```
BaCoBr2
1.0
0.000 3.945 3.945
3.945 0.000 3.945
3.945 3.945 0.000
Ba Co Br
1 1 2
Direct
0.000 0.000 0.000 Ba
0.250 0.250 0.250 Co
0.500 0.500 0.500 Br
0.750 0.750 0.750 Br
```

Output
E above lowest polymorph = 2.04 eV/f.u.
calculated density = 4.817 g/cm³
uncorrected energy = -3.377 eV per atom